# 1
Crystalline TiGaAsPt2 at its relaxed geometry. Source: Alexandria via LeMat-Bulk, functional PBE.

Lattice parameters (Å, degrees): 4.801 4.801 4.841 90.00 90.00 90.00
Element x y z (fractional)
1 Ti 0.000 0.000 0.000
2 Ga 0.500 0.500 0.500
3 As 0.000 0.000 0.500
4 Pt 0.000 0.500 0.000
5 Pt 0.500 0.000 0.000

Summary:
Formation energy in eV/atom: 0.409
Size of the total moment in μB per atom: 0.00
Electronic total energy in eV per cell: -25.61

# 2
Crystalline Pu2SiAs at its relaxed geometry. Source: Alexandria via LeMat-Bulk, functional PBE.

Lattice parameters (Å, degrees): 3.267 3.267 7.889 90.00 90.00 90.00
Element x y z (fractional)
1 Pu 0.000 0.000 0.249
2 Pu 0.000 0.000 0.751
3 Si 0.500 0.500 0.000
4 As 0.500 0.500 0.500

Summary:
Offset from the most stable computed form in meV/atom: 0
Size of the total moment in μB per atom: 2.70
Electronic total energy in eV per cell: -40.94
Raw formation energy in eV per atom: -0.55

What did the first record say?
Crystalline TiGaAsPt2 at its relaxed geometry. Source: Alexandria via LeMat-Bulk, functional PBE.

Lattice parameters (Å, degrees): 4.801 4.801 4.841 90.00 90.00 90.00
Element x y z (fractional)
1 Ti 0.000 0.000 0.000
2 Ga 0.500 0.500 0.500
3 As 0.000 0.000 0.500
4 Pt 0.000 0.500 0.000
5 Pt 0.500 0.000 0.000

Summary:
Formation energy in eV/atom: 0.409
Size of the total moment in μB per atom: 0.00
Electronic total energy in eV per cell: -25.61